Record 1
Co2NiCl | PBE-GGA | relaxed

Energy: -5.081 eV per atom

Lattice parameters (Å, degrees): 2.971 2.971 6.069 90.00 90.00 90.00
Space group P4/mmm (No. 123)
One atom of each set of equivalent atoms:
Co (0.000, 0.000, 0.204) (multiplicity 2)
Ni (0.500, 0.500, 0.000) (multiplicity 1)
Cl (0.500, 0.500, 0.500) (multiplicity 1)



Record 2
Co2NiCl | PBE-GGA | relaxed

Energy: -5.242 eV per atom

Lattice parameters (Å, degrees): 3.059 2.839 6.429 90.00 90.05 90.00
Space group Pm (No. 6)
One atom of each set of equivalent atoms:
Co (0.000, 0.000, 0.000) (multiplicity 1)
Co (0.500, 0.500, 0.192) (multiplicity 1)
Ni (0.500, 0.500, 0.795) (multiplicity 1)
Cl (0.502, 0.000, 0.492) (multiplicity 1)



Record 3
CoNiCl | PBE-GGA | relaxed

Energy: -4.502 eV per atom

Lattice parameters (Å, degrees): 4.022 4.042 10.213 90.00 90.00 90.00
Space group Fmm2 (No. 42)
One atom of each set of equivalent atoms:
Co (0.000, 0.000, 0.000) (multiplicity 4)
Ni (0.000, 0.000, 0.357) (multiplicity 4)
Cl (0.000, 0.000, 0.663) (multiplicity 4)



Record 4
Co2NiCl | PBE-GGA | relaxed

Energy: -4.765 eV per atom

Lattice parameters (Å, degrees): 3.762 3.762 7.095 90.00 90.00 90.00
Space group I-4m2 (No. 119)
One atom of each set of equivalent atoms:
Co (0.000, 0.000, 0.000) (multiplicity 2)
Co (0.000, 0.500, 0.250) (multiplicity 2)
Ni (0.000, 0.500, 0.750) (multiplicity 2)
Cl (0.000, 0.000, 0.500) (multiplicity 2)



Record 5
Co2NiCl | PBE-GGA | relaxed

Energy: -5.062 eV per atom

Lattice parameters (Å, degrees): 2.7816 2.7816 22.7541 90.00 90.00 120.00
Space group R-3m (No. 166, hexagonal axes)
One atom of each set of equivalent atoms:
Co (0.0000, 0.0000, 0.2500) (multiplicity 6)
Ni (0.0000, 0.0000, 0.0000) (multiplicity 3)
Cl (0.0000, 0.0000, 0.5000) (multiplicity 3)



Record 6
Co2NiCl | PBE-GGA | relaxed

Energy: -4.874 eV per atom

Lattice parameters (Å, degrees): 2.763 4.169 8.592 90.00 90.00 90.00
Space group Immm (No. 71)
One atom of each set of equivalent atoms:
Co (0.000, 0.000, 0.231) (multiplicity 4)
Ni (0.000, 0.500, 0.000) (multiplicity 2)
Cl (0.000, 0.500, 0.500) (multiplicity 2)



Record 7
Co2NiCl | PBE-GGA | relaxed

Energy: -4.738 eV per atom

Lattice parameters (Å, degrees): 5.877 5.877 5.877 90.00 90.00 90.00
Space group F-43m (No. 216)
One atom of each set of equivalent atoms:
Co (0.000, 0.000, 0.000) (multiplicity 4)
Co (0.250, 0.250, 0.250) (multiplicity 4)
Ni (0.250, 0.250, 0.750) (multiplicity 4)
Cl (0.000, 0.000, 0.500) (multiplicity 4)



Record 8
CoNiP2Cl | PBE-GGA | relaxed

Energy: -4.442 eV per atom

Lattice parameters (Å, degrees): 4.217 4.217 4.885 90.00 90.00 90.00
Space group P4/mmm (No. 123)
One atom of each set of equivalent atoms:
Co (0.000, 0.000, 0.000) (multiplicity 1)
Ni (0.500, 0.500, 0.500) (multiplicity 1)
P (0.000, 0.500, 0.000) (multiplicity 2)
Cl (0.000, 0.000, 0.500) (multiplicity 1)



Record 9
CoNiP2Cl | PBE-GGA | relaxed

Energy: -4.331 eV per atom

Lattice parameters (Å, degrees): 4.137 4.137 5.860 90.00 90.00 90.00
Space group P4/mmm (No. 123)
One atom of each set of equivalent atoms:
Co (0.000, 0.000, 0.000) (multiplicity 1)
Ni (0.500, 0.500, 0.500) (multiplicity 1)
P (0.000, 0.500, 0.500) (multiplicity 2)
Cl (0.500, 0.500, 0.000) (multiplicity 1)



Record 10
CoNiPbCl6 | PBE-GGA | relaxed

Energy: -3.796 eV per atom

Lattice parameters (Å, degrees): 6.312 10.979 6.255 90.00 90.35 90.00
Space group C2 (No. 5)
One atom of each set of equivalent atoms:
Co (0.000, 0.000, 0.000) (multiplicity 2)
Ni (0.000, 0.667, 0.000) (multiplicity 2)
Pb (0.000, 0.333, 0.500) (multiplicity 2)
Cl (0.126, 0.831, 0.220) (multiplicity 4)
Cl (0.182, 0.517, 0.219) (multiplicity 4)
Cl (0.188, 0.148, 0.217) (multiplicity 4)



Record 11
Pm8Co3NiCl4 | PBE-GGA | relaxed

Energy: -5.394 eV per atom

Lattice parameters (Å, degrees): 7.9008 7.9008 22.4359 90.00 90.00 120.00
Space group R-3m (No. 166, hexagonal axes)
One atom of each set of equivalent atoms:
Pm (0.0000, 0.0000, 0.2340) (multiplicity 6)
Pm (0.0052, 0.5026, 0.7664) (multiplicity 18)
Co (0.0000, 0.5000, 0.5000) (multiplicity 9)
Ni (0.0000, 0.0000, 0.5000) (multiplicity 3)
Cl (0.0000, 0.0000, 0.0000) (multiplicity 3)
Cl (0.0000, 0.5000, 0.0000) (multiplicity 9)



Record 12
Pm8CoNi3Cl4 | PBE-GGA | relaxed

Energy: -5.265 eV per atom

Lattice parameters (Å, degrees): 7.9866 7.9866 22.2971 90.00 90.00 120.00
Space group R-3m (No. 166, hexagonal axes)
One atom of each set of equivalent atoms:
Pm (0.0000, 0.0000, 0.2338) (multiplicity 6)
Pm (0.0052, 0.5026, 0.2339) (multiplicity 18)
Co (0.0000, 0.0000, 0.5000) (multiplicity 3)
Ni (0.0000, 0.5000, 0.5000) (multiplicity 9)
Cl (0.0000, 0.0000, 0.0000) (multiplicity 3)
Cl (0.0000, 0.5000, 0.0000) (multiplicity 9)